[1]
This record from Alexandria describes crystalline HfCd2Pb at its relaxed geometry. The functional is PBE.

Results
The calculation puts the size of the total moment at 0.000 μB per atom. The value obtained for the formation energy is 0.085 eV/atom.

abc: 3.2766 3.2766 31.6097
angles: 90.00 90.00 120.00
Atoms (fractional coordinates):
Hf 0.0000 0.0000 0.0000
Hf 0.3333 0.6667 0.6667
Hf 0.6667 0.3333 0.3333
Cd 0.0000 0.0000 0.5886
Cd 0.0000 0.0000 0.7447
Cd 0.3333 0.6667 0.2553
Cd 0.3333 0.6667 0.4113
Cd 0.6667 0.3333 0.0780
Cd 0.6667 0.3333 0.9219
Pb 0.0000 0.0000 0.1660
Pb 0.3333 0.6667 0.8327
Pb 0.6667 0.3333 0.4993


[2]
This record from Alexandria describes crystalline Ac2PmEr at its relaxed geometry. The functional is PBE.

Results
The calculation puts the size of the total moment at 0.000 μB per atom. The value obtained for the formation energy is 0.064 eV/atom. The polymorph energy (0 for the lowest one) is 23 meV/atom.

abc: 3.8147 3.8147 36.4399
angles: 90.00 90.00 120.00
Atoms (fractional coordinates):
Ac 0.0000 0.0000 0.0000
Ac 0.0000 0.0000 0.1693
Ac 0.3333 0.6667 0.6667
Ac 0.3333 0.6667 0.8360
Ac 0.6667 0.3333 0.3333
Ac 0.6667 0.3333 0.5026
Pm 0.0000 0.0000 0.4169
Pm 0.3333 0.6667 0.0836
Pm 0.6667 0.3333 0.7503
Er 0.0000 0.0000 0.5854
Er 0.3333 0.6667 0.2521
Er 0.6667 0.3333 0.9188